Density functional theory data (GGA-PBEsol) for a relaxed structure of LiMn2Ni.

Properties
**E**: -6.7020 eV/atom
**Magnetic moment**: 0.94 μB/f.u.
**DFT formation energy**: 0.84 eV per formula unit

Geometry as CIF:
```
data_LiMn2Ni
_cell_length_a 5.584
_cell_length_b 5.584
_cell_length_c 5.584
_cell_angle_alpha 90.00
_cell_angle_beta 90.00
_cell_angle_gamma 90.00
_space_group_name_H-M_alt 'F -4 3 m'
_space_group_IT_number 216
_space_group_name_Hall 'F -4 2 3'
loop_
_atom_site_label
_atom_site_type_symbol
_atom_site_fract_x
_atom_site_fract_y
_atom_site_fract_z
Li1 Li 0.000 0.000 0.000
Mn1 Mn 0.000 0.000 0.500
Mn2 Mn 0.250 0.250 0.250
Ni1 Ni 0.250 0.250 0.750
```

Density functional theory data (GGA-PBEsol) for a relaxed structure of Li4Cl.

Properties
**E**: -2.4266 eV/atom
**Magnetic moment**: 0.00 μB/f.u.
**Energy above the most stable polymorph in this dataset**: 7.5 meV/atom
**Formation energy without anion corrections**: -0.452 eV/atom

Geometry as CIF:
```
data_Li4Cl
_cell_length_a 3.439
_cell_length_b 3.439
_cell_length_c 16.629
_cell_angle_alpha 90.00
_cell_angle_beta 90.00
_cell_angle_gamma 90.00
_space_group_name_H-M_alt 'I 4/m m m'
_space_group_IT_number 139
_space_group_name_Hall '-I 4 2'
loop_
_atom_site_label
_atom_site_type_symbol
_atom_site_fract_x
_atom_site_fract_y
_atom_site_fract_z
Li1 Li 0.000 0.000 0.089
Li2 Li 0.000 0.500 0.250
Cl1 Cl 0.000 0.000 0.500
```

Density functional theory data (GGA-PBEsol) for a relaxed structure of Na2TlCd2.

Properties
**E**: -1.5911 eV/atom
**Magnetic moment**: 0.00 μB/f.u.
**DFT formation energy**: -0.13 eV per formula unit

Geometry as CIF:
```
data_Na2TlCd2
_cell_length_a 7.692
_cell_length_b 7.692
_cell_length_c 4.438
_cell_angle_alpha 90.00
_cell_angle_beta 90.00
_cell_angle_gamma 90.00
_space_group_name_H-M_alt 'P 4/m b m'
_space_group_IT_number 127
_space_group_name_Hall '-P 4 2ab'
loop_
_atom_site_label
_atom_site_type_symbol
_atom_site_fract_x
_atom_site_fract_y
_atom_site_fract_z
Na1 Na 0.172 0.328 0.000
Tl1 Tl 0.000 0.000 0.500
Cd1 Cd 0.130 0.630 0.500
```

Density functional theory data (GGA-PBEsol) for a relaxed structure of Al5Mo.

Properties
**E**: -5.6020 eV/atom
**Magnetic moment**: 0.00 μB/f.u.
**Energy above the most stable polymorph in this dataset**: 3.6 meV/atom
**DFT formation energy**: -1.39 eV per formula unit

Geometry as CIF:
```
data_Al5Mo
_cell_length_a 4.8988
_cell_length_b 4.8988
_cell_length_c 43.7774
_cell_angle_alpha 90.00
_cell_angle_beta 90.00
_cell_angle_gamma 120.00
_space_group_name_H-M_alt 'P 3 2 1'
_space_group_IT_number 150
loop_
_space_group_symop_operation_xyz
'x,y,z'
'-y,x-y,z'
'-x+y,-x,z'
'y,x,-z'
'x-y,-y,-z'
'-x,-x+y,-z'
loop_
_atom_site_label
_atom_site_type_symbol
_atom_site_fract_x
_atom_site_fract_y
_atom_site_fract_z
Al1 Al 0.0000 0.0000 0.0484
Al2 Al 0.0000 0.0000 0.2498
Al3 Al 0.0000 0.0000 0.4514
Al4 Al 0.0000 0.3439 0.0000
Al5 Al 0.0000 0.6573 0.5000
Al6 Al 0.0068 0.6733 0.7002
Al7 Al 0.0084 0.3321 0.8004
Al8 Al 0.0091 0.3340 0.5999
Al9 Al 0.0107 0.6769 0.0996
Al10 Al 0.3333 0.6667 0.1512
Al11 Al 0.3333 0.6667 0.2498
Al12 Al 0.3333 0.6667 0.3500
Al13 Al 0.3333 0.6667 0.4485
Al14 Al 0.3333 0.6667 0.6502
Al15 Al 0.3333 0.6667 0.8517
Al16 Al 0.3333 0.6667 0.9486
Mo1 Mo 0.0000 0.0000 0.1489
Mo2 Mo 0.0000 0.0000 0.3504
Mo3 Mo 0.3333 0.6667 0.0496
Mo4 Mo 0.3333 0.6667 0.5495
Mo5 Mo 0.3333 0.6667 0.7508
```

Density functional theory data (GGA-PBEsol) for a relaxed structure of Ca2IrBrCl.

Properties
**E**: -4.2261 eV/atom
**Magnetic moment**: 0.00 μB/f.u.
**Formation energy without anion corrections**: -0.633 eV/atom

Geometry as CIF:
```
data_Ca2IrBrCl
_cell_length_a 5.403
_cell_length_b 5.403
_cell_length_c 4.925
_cell_angle_alpha 90.00
_cell_angle_beta 90.00
_cell_angle_gamma 90.00
_space_group_name_H-M_alt 'P 4/m m m'
_space_group_IT_number 123
_space_group_name_Hall '-P 4 2'
loop_
_atom_site_label
_atom_site_type_symbol
_atom_site_fract_x
_atom_site_fract_y
_atom_site_fract_z
Ca1 Ca 0.000 0.500 0.000
Ir1 Ir 0.000 0.000 0.000
Br1 Br 0.000 0.000 0.500
Cl1 Cl 0.500 0.500 0.500
```

Density functional theory data (GGA-PBEsol) for a relaxed structure of La2ZrAl.

Properties
**E**: -6.0353 eV/atom
**Magnetic moment**: 0.00 μB/f.u.
**DFT formation energy**: -0.27 eV per formula unit

Geometry as CIF:
```
data_La2ZrAl
_cell_length_a 3.416
_cell_length_b 5.008
_cell_length_c 6.556
_cell_angle_alpha 90.00
_cell_angle_beta 104.95
_cell_angle_gamma 90.00
_space_group_name_H-M_alt 'P 1 m 1'
_space_group_IT_number 6
loop_
_space_group_symop_operation_xyz
'x,y,z'
'x,-y,z'
loop_
_atom_site_label
_atom_site_type_symbol
_atom_site_fract_x
_atom_site_fract_y
_atom_site_fract_z
La1 La 0.000 0.000 0.000
La2 La 0.315 0.500 0.635
Zr1 Zr 0.597 0.500 0.196
Al1 Al 0.717 0.000 0.439
```

Density functional theory data (GGA-PBEsol) for a relaxed structure of AsPb2.

Properties
**E**: -4.3155 eV/atom
**Magnetic moment**: 0.00 μB/f.u.
**Energy above the most stable polymorph in this dataset**: 27.6 meV/atom
**DFT formation energy**: 0.16 eV per formula unit

Geometry as CIF:
```
data_AsPb2
_cell_length_a 3.714
_cell_length_b 3.714
_cell_length_c 11.332
_cell_angle_alpha 90.00
_cell_angle_beta 90.00
_cell_angle_gamma 90.00
_space_group_name_H-M_alt 'I 4/m m m'
_space_group_IT_number 139
_space_group_name_Hall '-I 4 2'
loop_
_atom_site_label
_atom_site_type_symbol
_atom_site_fract_x
_atom_site_fract_y
_atom_site_fract_z
As1 As 0.000 0.000 0.000
Pb1 Pb 0.000 0.000 0.355
```

Density functional theory data (GGA-PBEsol) for a relaxed structure of Sc2ZnTcBi.

Properties
**E**: -4.7540 eV/atom
**Magnetic moment**: 2.02 μB/f.u.
**DFT formation energy**: 6.57 eV per formula unit

Geometry as CIF:
```
data_Sc2ZnTcBi
_cell_length_a 5.329
_cell_length_b 5.329
_cell_length_c 4.857
_cell_angle_alpha 90.00
_cell_angle_beta 90.00
_cell_angle_gamma 90.00
_space_group_name_H-M_alt 'P 4/m m m'
_space_group_IT_number 123
_space_group_name_Hall '-P 4 2'
loop_
_atom_site_label
_atom_site_type_symbol
_atom_site_fract_x
_atom_site_fract_y
_atom_site_fract_z
Sc1 Sc 0.000 0.500 0.000
Zn1 Zn 0.000 0.000 0.500
Tc1 Tc 0.500 0.500 0.500
Bi1 Bi 0.000 0.000 0.000
```